(1)
# ZrIn2Hg

A relaxed ZrIn2Hg crystal (PBE, Alexandria via LeMat-Bulk).

Cell: 3.278 3.278 10.359 Å, 90.00 90.00 118.32°
Atoms (fractional coordinates):
Zr1 0.000 0.000 0.000
In1 0.000 0.000 0.505
In2 0.500 0.500 0.244
Hg1 0.500 0.500 0.762

**ΔH_f (0 K)**: 22 meV/atom
**Density of states at the Fermi level**: 0.7515 states/eV per atom



(2)
# ZnB2C8N8

A relaxed ZnB2C8N8 crystal (PBE, Alexandria via LeMat-Bulk).

Cell: 7.568 7.568 6.366 Å, 90.00 90.00 120.00°
Atoms (fractional coordinates):
Zn1 0.000 0.000 0.000
B1 0.333 0.667 0.333
B2 0.667 0.333 0.667
C1 0.219 0.439 0.246
C2 0.219 0.781 0.246
C3 0.333 0.667 0.581
C4 0.439 0.219 0.754
C5 0.561 0.781 0.246
C6 0.667 0.333 0.419
C7 0.781 0.219 0.754
C8 0.781 0.561 0.754
N1 0.136 0.272 0.185
N2 0.136 0.864 0.185
N3 0.272 0.136 0.815
N4 0.333 0.667 0.764
N5 0.667 0.333 0.236
N6 0.728 0.864 0.185
N7 0.864 0.136 0.815
N8 0.864 0.728 0.815

**Final energy**: -150.7 eV for the cell shown
**Density of states at the Fermi level**: 0.0000 states/eV per atom



(3)
# Ho5TmPt6

A relaxed Ho5TmPt6 crystal (PBE, Alexandria via LeMat-Bulk).

Cell: 8.517 8.517 4.932 Å, 106.77 106.77 47.77°
Atoms (fractional coordinates):
Ho1 0.000 0.000 0.000
Ho2 0.167 0.167 0.667
Ho3 0.333 0.333 0.333
Ho4 0.667 0.667 0.667
Ho5 0.833 0.833 0.333
Tm1 0.500 0.500 0.000
Pt1 0.086 0.584 0.834
Pt2 0.252 0.748 0.500
Pt3 0.416 0.914 0.166
Pt4 0.584 0.086 0.834
Pt5 0.748 0.252 0.500
Pt6 0.914 0.416 0.166

**ΔH_f (0 K)**: -1251 meV/atom
**Density of states at the Fermi level**: 0.5674 states/eV per atom



(4)
# CdOs3W

A relaxed CdOs3W crystal (PBE, Alexandria via LeMat-Bulk).

Cell: 4.665 4.665 4.665 Å, 90.00 90.00 90.00°
Atoms (fractional coordinates):
Cd1 0.000 0.000 0.000
Os1 0.000 0.000 0.500
Os2 0.000 0.500 0.000
Os3 0.500 0.000 0.000
W1 0.500 0.500 0.500

**ΔH_f (0 K)**: 3298 meV/atom
**Relative energy among the computed polymorphs**: 1233.3 meV per atom
**Density of states at the Fermi level**: 1.0106 states/eV per atom



(5)
# NiIr3Rh

A relaxed NiIr3Rh crystal (PBE, Alexandria via LeMat-Bulk).

Cell: 6.833 6.833 8.718 Å, 122.19 122.19 63.68°
Atoms (fractional coordinates):
Ni1 0.090 0.910 0.750
Ni2 0.291 0.709 0.250
Ni3 0.709 0.291 0.750
Ni4 0.910 0.090 0.250
Ir1 0.031 0.215 0.078
Ir2 0.148 0.350 0.908
Ir3 0.169 0.585 0.426
Ir4 0.215 0.031 0.578
Ir5 0.350 0.148 0.408
Ir6 0.415 0.831 0.074
Ir7 0.585 0.169 0.926
Ir8 0.650 0.852 0.592
Ir9 0.785 0.969 0.422
Ir10 0.831 0.415 0.574
Ir11 0.852 0.650 0.092
Ir12 0.969 0.785 0.922
Rh1 0.270 0.477 0.733
Rh2 0.477 0.270 0.233
Rh3 0.523 0.730 0.767
Rh4 0.730 0.523 0.267

**ΔH_f (0 K)**: 112 meV/atom
**Relative energy among the computed polymorphs**: 0.0 meV per atom
**Density of states at the Fermi level**: 1.2163 states/eV per atom



(6)
# Pm3Sn4Ru

A relaxed Pm3Sn4Ru crystal (PBE, Alexandria via LeMat-Bulk).

Cell: 13.003 13.003 13.003 Å, 19.88 19.88 19.88°
Atoms (fractional coordinates):
Pm1 0.000 0.000 0.000
Pm2 0.238 0.238 0.238
Pm3 0.762 0.762 0.762
Sn1 0.143 0.143 0.143
Sn2 0.380 0.380 0.380
Sn3 0.620 0.620 0.620
Sn4 0.857 0.857 0.857
Ru1 0.500 0.500 0.500

**ΔH_f (0 K)**: -479 meV/atom
**Density of states at the Fermi level**: 0.8271 states/eV per atom



(7)
# BaTl2Co

A relaxed BaTl2Co crystal (PBE, Alexandria via LeMat-Bulk).

Cell: 5.444 5.444 5.444 Å, 119.86 119.86 90.25°
Atoms (fractional coordinates):
Ba1 0.000 0.000 0.000
Tl1 0.250 0.750 0.500
Tl2 0.500 0.500 0.000
Co1 0.750 0.250 0.500

**ΔH_f (0 K)**: 346 meV/atom
**Density of states at the Fermi level**: 0.9690 states/eV per atom



(8)
# MnSi2Br

A relaxed MnSi2Br crystal (PBE, Alexandria via LeMat-Bulk).

Cell: 3.442 3.442 7.595 Å, 90.00 99.17 90.00°
Atoms (fractional coordinates):
Mn1 0.000 0.000 0.000
Si1 0.094 0.500 0.265
Si2 0.594 0.000 0.265
Br1 0.437 0.500 0.817

**Relative energy among the computed polymorphs**: 59.4 meV per atom
**Density of states at the Fermi level**: 0.4076 states/eV per atom